No. 1
Here is a relaxed structure of Ce2Si7Rh15 from the Alexandria database. Energies are from GGA-PBEsol.

Computed properties:
Formation energy from raw total energies (eV/atom): -0.887
N(E_F) (states/eV per cell): 25.8
Density (g cm⁻³): 9.9
Magnetization (μB/f.u.): 0.092

abc: 8.789 8.789 8.789
angles: 90.00 90.00 90.00
Space group Pm-3m (No. 221)
One atom of each set of equivalent atoms:
Ce: 0.000 0.000 0.000 (multiplicity 1)
Ce: 0.000 0.500 0.500 (multiplicity 3)
Si: 0.000 0.000 0.365 (multiplicity 6)
Si: 0.287 0.287 0.287 (multiplicity 8)
Rh: 0.000 0.238 0.238 (multiplicity 12)
Rh: 0.177 0.177 0.500 (multiplicity 12)
Rh: 0.275 0.500 0.500 (multiplicity 6)

---

No. 2
Here is a relaxed structure of Ce3Si2Rh2 from the Alexandria database. Energies are from GGA-PBEsol.

Computed properties:
Formation energy from raw total energies (eV/atom): -0.826
N(E_F) (states/eV per cell): 45.9
Density (g cm⁻³): 8.2
Magnetization (μB/f.u.): 1.246

abc: 5.479 7.832 12.907
angles: 90.00 90.00 90.00
Space group Pbcm (No. 57)
One atom of each set of equivalent atoms:
Ce: 0.147 0.248 0.250 (multiplicity 4)
Ce: 0.352 0.607 0.599 (multiplicity 8)
Si: 0.161 0.250 0.000 (multiplicity 4)
Si: 0.356 0.602 0.250 (multiplicity 4)
Rh: 0.120 0.538 0.093 (multiplicity 8)

---

No. 3
Here is a relaxed structure of CeSiRh from the Alexandria database. Energies are from GGA-PBEsol.

Computed properties:
Formation energy from raw total energies (eV/atom): -0.828
N(E_F) (states/eV per cell): 18.8
Density (g cm⁻³): 7.5
Magnetization (μB/f.u.): 0.646

abc: 6.204 6.204 6.204
angles: 90.00 90.00 90.00
Space group P2_13 (No. 198)
One atom of each set of equivalent atoms:
Ce: 0.127 0.127 0.127 (multiplicity 4)
Si: 0.169 0.331 0.669 (multiplicity 4)
Rh: 0.063 0.563 0.937 (multiplicity 4)

---

No. 4
Here is a relaxed structure of CeSi2Rh2 from the Alexandria database. Energies are from GGA-PBEsol.

Computed properties:
Formation energy from raw total energies (eV/atom): -1.084
N(E_F) (states/eV per cell): 9.2
Density (g cm⁻³): 8.2
Magnetization (μB/f.u.): 0.271

abc: 4.032 4.032 10.002
angles: 90.00 90.00 90.00
Space group I4/mmm (No. 139)
One atom of each set of equivalent atoms:
Ce: 0.000 0.000 0.000 (multiplicity 2)
Si: 0.000 0.000 0.379 (multiplicity 4)
Rh: 0.000 0.500 0.250 (multiplicity 4)

---

No. 5
Here is a relaxed structure of Ce4SiRh12 from the Alexandria database. Energies are from GGA-PBEsol.

Computed properties:
Formation energy from raw total energies (eV/atom): -0.676
N(E_F) (states/eV per cell): 34.9
Density (g cm⁻³): 11.1
Magnetization (μB/f.u.): 0.001

abc: 8.166 8.166 8.166
angles: 90.00 90.00 90.00
Space group Im-3m (No. 229)
One atom of each set of equivalent atoms:
Ce: 0.250 0.250 0.250 (multiplicity 8)
Si: 0.000 0.000 0.000 (multiplicity 2)
Rh: 0.000 0.000 0.280 (multiplicity 12)
Rh: 0.000 0.250 0.500 (multiplicity 12)

---

No. 6
Here is a relaxed structure of Ce2Si5Rh3 from the Alexandria database. Energies are from GGA-PBEsol.

Computed properties:
Formation energy from raw total energies (eV/atom): -1.016
N(E_F) (states/eV per cell): 19.5
Density (g cm⁻³): 7.4
Magnetization (μB/f.u.): 0.001

abc: 9.842 11.523 5.769
angles: 90.00 90.00 90.00
Space group Ibam (No. 72)
One atom of each set of equivalent atoms:
Ce: 0.232 0.132 0.000 (multiplicity 8)
Si: 0.000 0.000 0.250 (multiplicity 4)
Si: 0.000 0.276 0.250 (multiplicity 8)
Si: 0.154 0.393 0.000 (multiplicity 8)
Rh: 0.000 0.500 0.250 (multiplicity 4)
Rh: 0.111 0.139 0.500 (multiplicity 8)

---

No. 7
Here is a relaxed structure of CeSi2Rh from the Alexandria database. Energies are from GGA-PBEsol.

Computed properties:
Formation energy from raw total energies (eV/atom): -0.956
N(E_F) (states/eV per cell): 13.0
Density (g cm⁻³): 7.0
Magnetization (μB/f.u.): 0.001

abc: 4.128 16.668 4.115
angles: 90.00 90.00 90.00
Space group Cmcm (No. 63)
One atom of each set of equivalent atoms:
Ce: 0.000 0.106 0.250 (multiplicity 4)
Si: 0.000 0.250 0.750 (multiplicity 4)
Si: 0.000 0.463 0.250 (multiplicity 4)
Rh: 0.000 0.323 0.250 (multiplicity 4)

---

No. 8
Here is a relaxed structure of CeSiRh2 from the Alexandria database. Energies are from GGA-PBEsol.

Computed properties:
Formation energy from raw total energies (eV/atom): -0.963
N(E_F) (states/eV per cell): 16.4
Density (g cm⁻³): 8.9
Magnetization (μB/f.u.): 0.434

abc: 3.918 18.063 3.963
angles: 90.00 90.00 90.00
Space group Cmcm (No. 63)
One atom of each set of equivalent atoms:
Ce: 0.000 0.099 0.250 (multiplicity 4)
Si: 0.000 0.321 0.250 (multiplicity 4)
Rh: 0.000 0.250 0.750 (multiplicity 4)
Rh: 0.000 0.451 0.250 (multiplicity 4)

---

No. 9
Here is a relaxed structure of CeSn2Rh from the Alexandria database. Energies are from GGA-PBEsol.

Computed properties:
N(E_F) (states/eV per cell): 45.2
Calculated formation energy (meV per atom): -681
Density (g cm⁻³): 8.8
Magnetization (μB/f.u.): 0.578

abc: 4.507 16.943 9.473
angles: 90.00 90.00 90.00
Space group Cmcm (No. 63)
One atom of each set of equivalent atoms:
Ce: 0.000 0.000 0.000 (multiplicity 4)
Ce: 0.000 0.203 0.250 (multiplicity 4)
Sn: 0.000 0.199 0.590 (multiplicity 8)
Sn: 0.000 0.410 0.250 (multiplicity 4)
Sn: 0.000 0.427 0.750 (multiplicity 4)
Rh: 0.000 0.354 0.507 (multiplicity 8)

---

No. 10
Here is a relaxed structure of CeYRh4 from the Alexandria database. Energies are from GGA-PBEsol.

Computed properties:
N(E_F) (states/eV per cell): 22.5
Calculated formation energy (meV per atom): -681
Density (g cm⁻³): 10.3
Magnetization (μB/f.u.): 0.005

abc: 7.439 7.439 7.439
angles: 90.00 90.00 90.00
Space group F-43m (No. 216)
One atom of each set of equivalent atoms:
Ce: 0.000 0.000 0.000 (multiplicity 4)
Y: 0.250 0.250 0.250 (multiplicity 4)
Rh: 0.125 0.125 0.625 (multiplicity 16)

---

No. 11
Here is a relaxed structure of Ce7Ru3 from the Alexandria database. Energies are from GGA-PBEsol.

Computed properties:
N(E_F) (states/eV per cell): 44.7
Calculated formation energy (meV per atom): -180
Density (g cm⁻³): 9.4
Magnetization (μB/f.u.): 0.001

abc: 9.3669 9.3669 5.9886
angles: 90.00 90.00 120.00
Space group P6_3mc (No. 186)
One atom of each set of equivalent atoms:
Ce: 0.0772 0.5386 0.0000 (multiplicity 6)
Ce: 0.1266 0.2533 0.2620 (multiplicity 6)
Ce: 0.3333 0.6667 0.4640 (multiplicity 2)
Ru: 0.1816 0.3633 0.7341 (multiplicity 6)

---

No. 12
Here is a relaxed structure of CeSi2Ru2 from the Alexandria database. Energies are from GGA-PBEsol.

Computed properties:
Formation energy from raw total energies (eV/atom): -0.868
N(E_F) (states/eV per cell): 10.0
Density (g cm⁻³): 8.0
Magnetization (μB/f.u.): 0.271

abc: 4.150 4.150 9.579
angles: 90.00 90.00 90.00
Space group I4/mmm (No. 139)
One atom of each set of equivalent atoms:
Ce: 0.000 0.000 0.000 (multiplicity 2)
Si: 0.000 0.000 0.369 (multiplicity 4)
Ru: 0.000 0.500 0.250 (multiplicity 4)